TiVHO2: optimized geometry, GGA+U.

a = 3.614 Å, b = 3.614 Å, c = 5.488 Å
α = 90.00°, β = 90.00°, γ = 90.00°
Sites, in units of the cell vectors:
Ti  0.000  0.000  0.000
V  0.000  0.000  0.500
H  0.500  0.500  0.000
O  0.000  0.500  0.500
O  0.500  0.000  0.500

Properties
The space group is P4/mmm. For the total energy, the calculation gives -30.57 eV for the cell shown.